(1)
Entry from Alexandria: crystalline Sc2SbSe at its relaxed geometry (PBE).

Lattice parameters (Å, degrees): 10.078 10.078 10.078 20.30 20.30 20.30
Fractional positions:
Sc1 0.763 0.763 0.763
Sc2 0.000 0.000 0.000
Se1 0.481 0.481 0.481
Sb1 0.256 0.256 0.256

Summary:
Its density of states at the Fermi level is 0.7610 states/eV per atom. Its crystal system is trigonal. The energy relative to the elements, uncorrected comes out at -200 kJ/mol of formula units. The value obtained for the offset from the most stable computed form is 745 meV/atom. The calculation puts the volume at 27.0 Å³ per atom.



(2)
Entry from Alexandria: crystalline MnGe2Ir at its relaxed geometry (PBE).

Lattice parameters (Å, degrees): 5.367 3.980 5.760 90.00 100.50 90.00
Fractional positions:
Ge1 0.484 0.500 0.667
Ge2 0.127 0.000 0.412
Ge3 0.027 0.500 0.054
Ge4 0.560 0.500 0.152
Ir1 0.004 0.500 0.619
Ir2 0.615 0.000 0.421
Mn1 0.747 0.000 0.916
Mn2 0.263 0.000 0.955

Summary:
Its density of states at the Fermi level is 0.6240 states/eV per atom. Its crystal system is monoclinic. For the formation energy, the calculation gives -0.03 eV/atom. The calculation puts the volume at 15.1 Å³ per atom.



(3)
Entry from Alexandria: crystalline CaTe2Br at its relaxed geometry (PBE).

Lattice parameters (Å, degrees): 3.684 3.684 9.467 90.00 90.00 90.00
Fractional positions:
Te1 0.000 0.000 0.971
Te2 0.500 0.500 0.187
Br1 0.000 0.000 0.588
Ca1 0.500 0.500 0.754

Summary:
Its density of states at the Fermi level is 0.2359 states/eV per atom. Its crystal system is tetragonal. The energy relative to the elements, uncorrected comes out at -292 kJ/mol of formula units. The value obtained for the offset from the most stable computed form is 291 meV/atom. The calculation puts the volume at 32.1 Å³ per atom.



Question: Which formula does entry 2 have?
Answer: MnGe2Ir



Copy entry 1 word for word.
Entry from Alexandria: crystalline Sc2SbSe at its relaxed geometry (PBE).

Lattice parameters (Å, degrees): 10.078 10.078 10.078 20.30 20.30 20.30
Fractional positions:
Sc1 0.763 0.763 0.763
Sc2 0.000 0.000 0.000
Se1 0.481 0.481 0.481
Sb1 0.256 0.256 0.256

Summary:
Its density of states at the Fermi level is 0.7610 states/eV per atom. Its crystal system is trigonal. The energy relative to the elements, uncorrected comes out at -200 kJ/mol of formula units. The value obtained for the offset from the most stable computed form is 745 meV/atom. The calculation puts the volume at 27.0 Å³ per atom.